(1)
A relaxed TaRePt2 crystal. Source: Alexandria, functional PBE.

POSCAR file:
```
TaRePt2
1.0
0.0000 3.1955 3.1955
3.1955 0.0000 3.1955
3.1955 3.1955 0.0000
Ta Re Pt
1 1 2
Cartesian
0.0000 0.0000 0.0000 Ta
3.1955 3.1955 3.1955 Re
1.5977 1.5977 1.5977 Pt
4.7932 4.7932 4.7932 Pt
```

**Energy of formation from the pure elements**: 0.078 eV per atom
**Crystal system**: cubic
**Relative energy among the computed polymorphs**: 0.5222 eV/atom
**Electronic total energy**: -9.02 eV/atom
**Space group**: Fm-3m
**V**: 65.26 Å³ per cell

(2)
A relaxed TaRePt2 crystal. Source: Alexandria, functional PBE.

POSCAR file:
```
TaRePt2
1.0
1.4068 0.8122 9.3470
-1.4068 0.8122 9.3470
0.0000 -1.6244 9.3470
Ta Re Pt
1 1 2
Cartesian
0.0000 0.0000 0.0000 Ta
0.0000 0.0000 21.1450 Re
0.0000 0.0000 7.0665 Pt
0.0000 0.0000 13.9960 Pt
```

**Energy of formation from the pure elements**: -0.149 eV per atom
**Crystal system**: trigonal
**Relative energy among the computed polymorphs**: 0.2948 eV/atom
**Electronic total energy**: -9.24 eV/atom
**Space group**: R3m
**V**: 64.08 Å³ per cell

(3)
A relaxed TaRePt2 crystal. Source: Alexandria, functional PBE.

POSCAR file:
```
TaRePt2
1.0
3.4447 0.0000 0.0000
0.0000 3.4447 0.0000
0.0000 0.0000 5.4675
Ta Re Pt
1 1 2
Cartesian
0.0000 0.0000 0.0000 Ta
0.0000 0.0000 2.7338 Re
1.7223 1.7223 1.3726 Pt
1.7223 1.7223 4.0950 Pt
```

**Energy of formation from the pure elements**: -0.162 eV per atom
**Crystal system**: tetragonal
**Relative energy among the computed polymorphs**: 0.2820 eV/atom
**Electronic total energy**: -9.26 eV/atom
**Space group**: P4/mmm
**V**: 64.88 Å³ per cell

(4)
A relaxed TaRePt2 crystal. Source: Alexandria, functional PBE.

POSCAR file:
```
TaRePt2
1.0
3.9038 0.0000 0.0000
0.0000 3.9038 0.0000
0.0000 0.0000 4.1211
Ta Re Pt
1 1 2
Cartesian
0.0000 0.0000 0.0000 Ta
1.9519 1.9519 0.0000 Re
0.0000 1.9519 2.0606 Pt
1.9519 0.0000 2.0606 Pt
```

**Energy of formation from the pure elements**: -0.444 eV per atom
**Crystal system**: tetragonal
**Relative energy among the computed polymorphs**: 0.0000 eV/atom
**Electronic total energy**: -9.54 eV/atom
**Space group**: P4/mmm
**V**: 62.80 Å³ per cell

Q: electronic total energy of number 4 (TaRePt2)?
A: -9.54 eV/atom

Q: Which formula does entry 2 have?
A: TaRePt2

Repeat the third record exactly.
A relaxed TaRePt2 crystal. Source: Alexandria, functional PBE.

POSCAR file:
```
TaRePt2
1.0
3.4447 0.0000 0.0000
0.0000 3.4447 0.0000
0.0000 0.0000 5.4675
Ta Re Pt
1 1 2
Cartesian
0.0000 0.0000 0.0000 Ta
0.0000 0.0000 2.7338 Re
1.7223 1.7223 1.3726 Pt
1.7223 1.7223 4.0950 Pt
```

**Energy of formation from the pure elements**: -0.162 eV per atom
**Crystal system**: tetragonal
**Relative energy among the computed polymorphs**: 0.2820 eV/atom
**Electronic total energy**: -9.26 eV/atom
**Space group**: P4/mmm
**V**: 64.88 Å³ per cell

Q: Which value of V does entry 1 give?
A: 65.26 Å³ per cell